Record 1
A relaxed structure of Ca2Ga5Sn. Source: the Alexandria database, functional PBE.

Output
symmetry = No. 63
DOS(E_F) = 2.926 states/eV/f.u.
total energy = -3.2724 eV per atom
mass density = 5.0 Mg/m³

Cell: 9.248 9.248 8.998 Å, 90.00 90.00 151.81°
Element x y z (fractional)
Ca (0.000, 0.000, 0.000)
Ca (0.000, 0.000, 0.500)
Ca (0.200, 0.800, 0.750)
Ca (0.800, 0.200, 0.250)
Ga (0.190, 0.810, 0.107)
Ga (0.190, 0.810, 0.393)
Ga (0.347, 0.653, 0.011)
Ga (0.347, 0.653, 0.489)
Ga (0.408, 0.592, 0.750)
Ga (0.592, 0.408, 0.250)
Ga (0.653, 0.347, 0.511)
Ga (0.653, 0.347, 0.989)
Ga (0.810, 0.190, 0.607)
Ga (0.810, 0.190, 0.893)
Sn (0.440, 0.560, 0.250)
Sn (0.560, 0.440, 0.750)



Record 2
A relaxed structure of Ca2GaSn2. Source: the Alexandria database, functional PBE.

Output
energy relative to the lowest polymorph listed for this composition = 0.056 eV per atom
symmetry = No. 36
DOS(E_F) = 3.017 states/eV/f.u.
total energy = -3.4818 eV per atom
mass density = 4.5 Mg/m³

Cell: 8.939 8.939 7.103 Å, 90.00 90.00 149.66°
Element x y z (fractional)
Ca (0.010, 0.990, 0.500)
Ca (0.204, 0.796, 0.760)
Ca (0.796, 0.204, 0.260)
Ca (0.990, 0.010, 0.000)
Ga (0.413, 0.587, 0.677)
Ga (0.587, 0.413, 0.177)
Sn (0.169, 0.831, 0.259)
Sn (0.426, 0.574, 0.271)
Sn (0.574, 0.426, 0.771)
Sn (0.831, 0.169, 0.759)



Record 3
A relaxed structure of Ca5Ga2Sn. Source: the Alexandria database, functional PBE.

Output
symmetry = No. 140
DOS(E_F) = 5.421 states/eV/f.u.
total energy = -3.0066 eV per atom
mass density = 3.2 Mg/m³

Cell: 9.345 9.345 9.345 Å, 128.81 128.81 75.31°
Element x y z (fractional)
Ca (0.000, 0.000, 0.000)
Ca (0.039, 0.539, 0.856)
Ca (0.183, 0.039, 0.500)
Ca (0.317, 0.817, 0.856)
Ca (0.461, 0.317, 0.500)
Ca (0.500, 0.500, 0.000)
Ca (0.539, 0.683, 0.500)
Ca (0.683, 0.183, 0.144)
Ca (0.817, 0.961, 0.500)
Ca (0.961, 0.461, 0.144)
Ga (0.111, 0.389, 0.500)
Ga (0.389, 0.889, 0.277)
Ga (0.611, 0.111, 0.723)
Ga (0.889, 0.611, 0.500)
Sn (0.250, 0.250, 0.000)
Sn (0.750, 0.750, 0.000)